*A*
A relaxed BaBiI2N crystal, computed with GGA-PBE.

## Properties
DOS at the Fermi energy = 0.484 states/eV per atom

abc: 6.5261 6.5261 4.3269
angles: 90.00 90.00 90.00
With the nearest neighbours (Å) after each atom.
Space group P4/mmm (No. 123)
Inequivalent atoms, fractional coordinates:
Ba (0.0000, 0.0000, 0.0000) (multiplicity 1)  8 I 3.92, 2 Ba 4.33
Bi (0.5000, 0.5000, 0.5000) (multiplicity 1)  2 N 2.16
I (0.0000, 0.5000, 0.5000) (multiplicity 2)  2 Bi 3.26
N (0.5000, 0.5000, 0.0000) (multiplicity 1)  2 Bi 2.16

***

*B*
A relaxed BaBiI2N crystal, computed with GGA-PBE.

## Properties
DOS at the Fermi energy = 1.309 states/eV per atom

abc: 6.7195 6.7195 4.4092
angles: 90.00 90.00 90.00
With the nearest neighbours (Å) after each atom.
Space group P4/mmm (No. 123)
Inequivalent atoms, fractional coordinates:
Ba (0.0000, 0.0000, 0.0000) (multiplicity 1)  2 N 2.20
Bi (0.5000, 0.5000, 0.5000) (multiplicity 1)  8 I 4.02, 2 Bi 4.41
I (0.0000, 0.5000, 0.0000) (multiplicity 2)  2 Ba 3.36
N (0.0000, 0.0000, 0.5000) (multiplicity 1)  2 Ba 2.20

***

Result of the stability comparison: *B* is the least stable of them.

***

*A*
A relaxed BaBiSbI2 crystal, computed with GGA-PBE.

## Properties
DOS at the Fermi energy = 0.325 states/eV per atom

abc: 6.1564 6.1564 5.9652
angles: 90.00 90.00 90.00
With the nearest neighbours (Å) after each atom.
Space group P4/mmm (No. 123)
Inequivalent atoms, fractional coordinates:
Ba (0.0000, 0.0000, 0.0000) (multiplicity 1)  8 I 4.29, 4 Sb 4.35
Bi (0.5000, 0.5000, 0.5000) (multiplicity 1)  2 Sb 2.98, 4 I 3.08
Sb (0.5000, 0.5000, 0.0000) (multiplicity 1)  2 Bi 2.98
I (0.0000, 0.5000, 0.5000) (multiplicity 2)  2 Bi 3.08

***

*B*
A relaxed BaBiSbI2 crystal, computed with GGA-PBE.

## Properties
DOS at the Fermi energy = 1.524 states/eV per atom

abc: 6.4141 6.4141 7.0740
angles: 90.00 90.00 90.00
With the nearest neighbours (Å) after each atom.
Space group P4/mmm (No. 123)
Inequivalent atoms, fractional coordinates:
Ba (0.0000, 0.0000, 0.0000) (multiplicity 1)  4 I 3.21, 2 Sb 3.54
Bi (0.5000, 0.5000, 0.5000) (multiplicity 1)  4 Sb 4.54, 8 I 4.77
Sb (0.0000, 0.0000, 0.5000) (multiplicity 1)  2 Ba 3.54
I (0.0000, 0.5000, 0.0000) (multiplicity 2)  2 Ba 3.21

***

Result of the stability comparison: *B* is the least stable of them.

***

*A*
A relaxed BaInBi crystal, computed with GGA-PBE.

## Properties
DOS at the Fermi energy = 0.547 states/eV per atom

abc: 5.2383 4.8129 9.2134
angles: 90.00 90.24 90.00
With the nearest neighbours (Å) after each atom.
Space group P2/m (No. 10)
Inequivalent atoms, fractional coordinates:
Ba (0.2494, 0.0000, 0.2683) (multiplicity 2)  6 Bi 3.74-3.93, 6 In 3.92-4.02
In (0.2494, 0.5000, 0.9321) (multiplicity 2)  2 In 2.90, 1 Bi 3.01
Bi (0.2502, 0.5000, 0.6056) (multiplicity 2)  1 In 3.01, 2 Bi 3.26-3.27

***

*B*
A relaxed BaInBi crystal, computed with GGA-PBE.

## Properties
DOS at the Fermi energy = 0.385 states/eV per atom

abc: 4.8873 4.8873 9.8963
angles: 90.00 90.00 90.00
With the nearest neighbours (Å) after each atom.
Space group I4mm (No. 107)
Inequivalent atoms, fractional coordinates:
Ba (0.0000, 0.0000, 0.0000) (multiplicity 2)  1 In 3.34, 1 Bi 3.48
In (0.0000, 0.0000, 0.6626) (multiplicity 2)  1 Bi 3.08, 1 Ba 3.34
Bi (0.0000, 0.0000, 0.3513) (multiplicity 2)  1 In 3.08

***

*C*
A relaxed BaInBi crystal, computed with GGA-PBE.

abc: 4.9834 4.9834 5.4143
angles: 90.00 90.00 120.00
With the nearest neighbours (Å) after each atom.
Space group P3m1 (No. 156)
Inequivalent atoms, fractional coordinates:
Ba (0.0000, 0.0000, 0.0000) (multiplicity 1)  3 In 3.53, 3 Bi 3.60
In (0.6667, 0.3333, 0.6235) (multiplicity 1)  3 Bi 3.12
Bi (0.3333, 0.6667, 0.3987) (multiplicity 1)  3 In 3.12

***

*D*
A relaxed BaInBi crystal, computed with GGA-PBE.

## Properties
DOS at the Fermi energy = 0.133 states/eV per atom

abc: 16.3604 4.7167 6.0783
angles: 90.00 90.00 90.00
With the nearest neighbours (Å) after each atom.
Space group Pnma (No. 62)
Inequivalent atoms, fractional coordinates:
Ba (0.1494, 0.2500, 0.1452) (multiplicity 4)  3 In 3.43-3.60, 3 Bi 3.55-3.77
In (0.0095, 0.2500, 0.7261) (multiplicity 4)  3 Bi 3.17, 1 Ba 3.43
Bi (0.1334, 0.7500, 0.6271) (multiplicity 4)  3 In 3.17

***

Result of the stability comparison: *B* is the least stable of them.

***

*A*
A relaxed Ba2InBi crystal, computed with GGA-PBE.

## Properties
DOS at the Fermi energy = 1.018 states/eV per atom

abc: 9.5281 9.5281 7.8578
angles: 90.00 90.00 90.00
With the nearest neighbours (Å) after each atom.
Space group I-42d (No. 122)
Inequivalent atoms, fractional coordinates:
Ba (0.2385, 0.2500, 0.1250) (multiplicity 8)  2 Bi 3.44, 2 In 3.58
In (0.0000, 0.0000, 0.5000) (multiplicity 4)  4 Ba 3.58, 2 Bi 3.93
Bi (0.0000, 0.0000, 0.0000) (multiplicity 4)  4 Ba 3.44

***

*B*
A relaxed Ba2InBi crystal, computed with GGA-PBE.

## Properties
DOS at the Fermi energy = 0.609 states/eV per atom

abc: 5.7182 5.7182 4.8223
angles: 90.00 90.00 90.00
With the nearest neighbours (Å) after each atom.
Space group P4/mmm (No. 123)
Inequivalent atoms, fractional coordinates:
Ba (0.0000, 0.5000, 0.0000) (multiplicity 2)  4 In 3.74, 4 Bi 3.74, 4 Ba 4.04
In (0.0000, 0.0000, 0.5000) (multiplicity 1)  8 Ba 3.74, 4 Bi 4.04
Bi (0.5000, 0.5000, 0.5000) (multiplicity 1)  8 Ba 3.74, 4 In 4.04

***

*C*
A relaxed Ba2InBi crystal, computed with GGA-PBE.

## Properties
DOS at the Fermi energy = 1.121 states/eV per atom

abc: 8.6228 8.6228 8.6228
angles: 90.00 90.00 90.00
With the nearest neighbours (Å) after each atom.
Space group Fm-3m (No. 225)
Inequivalent atoms, fractional coordinates:
Ba (0.2500, 0.2500, 0.2500) (multiplicity 8)  4 In 3.73, 4 Bi 3.73
In (0.0000, 0.0000, 0.0000) (multiplicity 4)  8 Ba 3.73
Bi (0.0000, 0.0000, 0.5000) (multiplicity 4)  8 Ba 3.73

***

Result of the stability comparison: *A* is the least stable of them.

***

*A*
A relaxed BaIn3Bi2 crystal, computed with GGA-PBE.

## Properties
DOS at the Fermi energy = 0.301 states/eV per atom

abc: 17.2166 5.6953 9.6740
angles: 90.00 122.20 90.00
With the nearest neighbours (Å) after each atom.
Space group C2/m (No. 12)
Inequivalent atoms, fractional coordinates:
Ba (0.1457, 0.0000, 0.1097) (multiplicity 4)  7 Bi 3.59-3.93, 6 In 3.67-4.01
In (0.0380, 0.0000, 0.3727) (multiplicity 4)  4 Bi 3.31-3.45, 6 In 3.35-3.70
In (0.1024, 0.5000, 0.6380) (multiplicity 4)  1 In 3.09, 3 Bi 3.20-3.34
In (0.2282, 0.5000, 0.4386) (multiplicity 4)  2 In 3.02, 2 Bi 3.13-3.15
Bi (0.0167, 0.5000, 0.1804) (multiplicity 4)  4 In 3.13-3.34, 1 Bi 3.22
Bi (0.1928, 0.0000, 0.7900) (multiplicity 4)  5 In 3.15-3.45

***

*B*
A relaxed BaIn3Bi2 crystal, computed with GGA-PBE.

## Properties
DOS at the Fermi energy = 0.394 states/eV per atom

abc: 18.7111 4.8464 10.2086
angles: 90.00 118.82 90.00
With the nearest neighbours (Å) after each atom.
Space group C2/m (No. 12)
Inequivalent atoms, fractional coordinates:
Ba (0.1228, 0.0000, 0.2305) (multiplicity 4)  4 In 3.72-3.80, 7 Bi 3.73-3.82
In (0.0536, 0.0000, 0.6954) (multiplicity 4)  3 Bi 3.07-3.25, 2 In 3.28
In (0.0775, 0.5000, 0.4686) (multiplicity 4)  5 In 3.26-3.53, 3 Bi 3.29-3.43
In (0.2154, 0.5000, 0.8842) (multiplicity 4)  3 Bi 3.14-3.32, 2 In 3.19
Bi (0.0544, 0.5000, 0.9083) (multiplicity 4)  4 In 3.14-3.43, 1 Bi 3.37
Bi (0.2055, 0.0000, 0.6536) (multiplicity 4)  5 In 3.07-3.32

***

Result of the stability comparison: *B* is the least stable of them.

***

*A*
A relaxed BaBi3Ir crystal, computed with GGA-PBE.

## Properties
DOS at the Fermi energy = 0.709 states/eV per atom

abc: 7.1553 6.6214 6.6053
angles: 90.00 90.00 90.00
With the nearest neighbours (Å) after each atom.
Space group Pmn2_1 (No. 31)
Inequivalent atoms, fractional coordinates:
Ba (0.0000, 0.1485, 0.0000) (multiplicity 2)  1 Ir 3.43, 7 Bi 3.46-3.69
Bi (0.0000, 0.8762, 0.4477) (multiplicity 2)  1 Ir 2.67
Bi (0.2459, 0.3332, 0.5446) (multiplicity 4)  2 Ir 2.75-2.79
Ir (0.0000, 0.5966, 0.7396) (multiplicity 2)  5 Bi 2.67-2.79

***

*B*
A relaxed BaBi3Ir crystal, computed with GGA-PBE.

## Properties
DOS at the Fermi energy = 1.020 states/eV per atom

abc: 5.5342 5.5342 5.5342
angles: 90.00 90.00 90.00
With the nearest neighbours (Å) after each atom.
Space group Pm-3m (No. 221)
Inequivalent atoms, fractional coordinates:
Ba (0.0000, 0.0000, 0.0000) (multiplicity 1)  12 Bi 3.91
Bi (0.0000, 0.5000, 0.5000) (multiplicity 3)  2 Ir 2.77
Ir (0.5000, 0.5000, 0.5000) (multiplicity 1)  6 Bi 2.77

***

*C*
A relaxed BaBi3Ir crystal, computed with GGA-PBE.

## Properties
DOS at the Fermi energy = 0.974 states/eV per atom

abc: 6.1224 6.1224 6.1224
angles: 90.00 90.00 90.00
With the nearest neighbours (Å) after each atom.
Space group Pm-3m (No. 221)
Inequivalent atoms, fractional coordinates:
Ba (0.0000, 0.0000, 0.0000) (multiplicity 1)  6 Bi 3.06
Bi (0.0000, 0.0000, 0.5000) (multiplicity 3)  2 Ba 3.06
Ir (0.5000, 0.5000, 0.5000) (multiplicity 1)  12 Bi 4.33

***

Result of the stability comparison: *C* is the least stable of them.

***

*A*
A relaxed KBaBi2 crystal, computed with GGA-PBE.

## Properties
DOS at the Fermi energy = 0.815 states/eV per atom

abc: 8.5590 8.5590 8.5590
angles: 90.00 90.00 90.00
With the nearest neighbours (Å) after each atom.
Space group Fm-3m (No. 225)
Inequivalent atoms, fractional coordinates:
K (0.0000, 0.0000, 0.0000) (multiplicity 4)  8 Bi 3.71
Ba (0.0000, 0.0000, 0.5000) (multiplicity 4)  8 Bi 3.71
Bi (0.2500, 0.2500, 0.2500) (multiplicity 8)  4 Ba 3.71, 4 K 3.71

***

*B*
A relaxed KBaBi2 crystal, computed with GGA-PBE.

## Properties
DOS at the Fermi energy = 0.513 states/eV per atom

abc: 10.3691 5.4064 12.4815
angles: 90.00 90.00 90.00
With the nearest neighbours (Å) after each atom.
Space group Pnma (No. 62)
Inequivalent atoms, fractional coordinates:
K (0.0225, 0.2500, 0.0989) (multiplicity 4)  5 Bi 3.36-3.67, 2 K 3.69
Ba (0.1156, 0.7500, 0.3712) (multiplicity 4)  7 Bi 3.75-4.00
Bi (0.1523, 0.7500, 0.6747) (multiplicity 4)  2 Bi 3.12, 1 K 3.36
Bi (0.2401, 0.2500, 0.5739) (multiplicity 4)  2 Bi 3.12

***

Result of the stability comparison: *A* is the least stable of them.

***

*A*
A relaxed KBaBi2 crystal, computed with GGA-PBE.

## Properties
DOS at the Fermi energy = 0.439 states/eV per atom

abc: 3.8115 3.8115 10.4344
angles: 90.00 90.00 90.00
With the nearest neighbours (Å) after each atom.
Space group P4/mmm (No. 123)
Inequivalent atoms, fractional coordinates:
K (0.0000, 0.0000, 0.0000) (multiplicity 1)  8 Bi 3.78, 4 K 3.81
Ba (0.0000, 0.0000, 0.5000) (multiplicity 1)  8 Bi 3.73, 4 Ba 3.81
Bi (0.5000, 0.5000, 0.2534) (multiplicity 2)  4 Ba 3.73, 4 K 3.78, 4 Bi 3.81

***

*B*
A relaxed KBaBi2 crystal, computed with GGA-PBE.

## Properties
DOS at the Fermi energy = 0.544 states/eV per atom

abc: 8.6458 5.1662 15.9192
angles: 90.00 90.00 90.00
With the nearest neighbours (Å) after each atom.
Space group Pnma (No. 62)
Inequivalent atoms, fractional coordinates:
K (0.2500, 0.2500, 0.0239) (multiplicity 4)  6 Bi 3.79-3.82, 1 Ba 4.09
Ba (0.2492, 0.2500, 0.2805) (multiplicity 4)  8 Bi 3.71-3.74, 1 K 4.09
Bi (0.0349, 0.7500, 0.1569) (multiplicity 4)  1 Bi 3.03
Bi (0.0366, 0.2500, 0.6569) (multiplicity 4)  1 Bi 3.03

***

Result of the stability comparison: *A* is the least stable of them.

***

*A*
A relaxed K2BaBi2 crystal, computed with GGA-PBE.

## Properties
DOS at the Fermi energy = 0.422 states/eV per atom

abc: 5.1977 5.1977 15.9536
angles: 90.00 90.00 90.00
With the nearest neighbours (Å) after each atom.
Space group I4/mmm (No. 139)
Inequivalent atoms, fractional coordinates:
K (0.0000, 0.5000, 0.2500) (multiplicity 4)  4 Bi 3.59, 4 K 3.68
Ba (0.0000, 0.0000, 0.0000) (multiplicity 2)  8 Bi 3.98
Bi (0.0000, 0.0000, 0.4050) (multiplicity 4)  1 Bi 3.03

***

*B*
A relaxed K2BaBi2 crystal, computed with GGA-PBE.

## Properties
DOS at the Fermi energy = 0.878 states/eV per atom

abc: 10.1247 10.1247 3.8182
angles: 90.00 90.00 90.00
With the nearest neighbours (Å) after each atom.
Space group P4/mbm (No. 127)
Inequivalent atoms, fractional coordinates:
K (0.1123, 0.3877, 0.0000) (multiplicity 4)  1 K 3.22, 2 Bi 3.45
Ba (0.0000, 0.0000, 0.0000) (multiplicity 2)  2 Ba 3.82, 4 K 4.09, 8 Bi 4.16
Bi (0.1868, 0.6868, 0.5000) (multiplicity 4)  6 K 3.45-3.66, 2 Bi 3.82

***

Result of the stability comparison: *B* is the least stable of them.